1.
A geometry-optimized LiHf2Ru structure. Source: Alexandria, functional PBE-GGA.

Calculated values
* calculated density: 11.19 g/cm³
* crystal system: tetragonal
* E: -8.06 eV per atom
* space-group type: P4/mmm
* energy of formation: -290.6 meV per atom

Cell: 4.593 4.593 3.270 Å, 90.00 90.00 90.00°
Fractional coordinates of all 4 atoms:
Li 0.000 0.000 0.000
Hf 0.000 0.500 0.500
Hf 0.500 0.000 0.500
Ru 0.500 0.500 0.000

2.
A geometry-optimized LiHfSbRu structure. Source: Alexandria, functional PBE-GGA.

Calculated values
* calculated density: 10.23 g/cm³
* crystal system: cubic
* E: -6.90 eV per atom
* space-group type: F-43m
* uncorrected formation energy: -2.3 eV/f.u.

Cell: 4.542 4.542 4.542 Å, 60.00 60.00 60.00°
Fractional coordinates of all 4 atoms:
Li 0.000 0.000 0.000
Hf 0.250 0.250 0.250
Sb 0.750 0.750 0.750
Ru 0.500 0.500 0.500

3.
A geometry-optimized LiHfSiRu structure. Source: Alexandria, functional PBE-GGA.

Calculated values
* calculated density: 8.94 g/cm³
* crystal system: cubic
* E: -7.17 eV per atom
* space-group type: F-43m
* uncorrected formation energy: -2.1 eV/f.u.

Cell: 4.356 4.356 4.356 Å, 60.00 60.00 60.00°
Fractional coordinates of all 4 atoms:
Li 0.000 0.000 0.000
Hf 0.750 0.750 0.750
Si 0.250 0.250 0.250
Ru 0.500 0.500 0.500

4.
A geometry-optimized LiHfSiRu2 structure. Source: Alexandria, functional PBE-GGA.

Calculated values
* calculated density: 9.31 g/cm³
* crystal system: tetragonal
* E: -6.51 eV per atom
* space-group type: P4/mmm
* uncorrected formation energy: 3.3 eV/f.u.

Cell: 4.194 4.194 4.213 Å, 90.00 90.00 90.00°
Fractional coordinates of all 5 atoms:
Li 0.000 0.000 0.000
Hf 0.000 0.000 0.500
Si 0.500 0.500 0.500
Ru 0.000 0.500 0.000
Ru 0.500 0.000 0.000

5.
A geometry-optimized LiHfSnRu structure. Source: Alexandria, functional PBE-GGA.

Calculated values
* calculated density: 9.99 g/cm³
* crystal system: cubic
* E: -6.75 eV per atom
* space-group type: F-43m
* energy of formation: -461.7 meV per atom

Cell: 4.568 4.568 4.568 Å, 60.00 60.00 60.00°
Fractional coordinates of all 4 atoms:
Li 0.000 0.000 0.000
Hf 0.750 0.750 0.750
Sn 0.250 0.250 0.250
Ru 0.500 0.500 0.500

6.
A geometry-optimized LiTbHfRu structure. Source: Alexandria, functional PBE-GGA.

Calculated values
* calculated density: 9.66 g/cm³
* crystal system: cubic
* E: -6.69 eV per atom
* space-group type: F-43m
* energy of formation: -248.3 meV per atom

Cell: 4.766 4.766 4.766 Å, 60.00 60.00 60.00°
Fractional coordinates of all 4 atoms:
Li 0.000 0.000 0.000
Tb 0.750 0.750 0.750
Hf 0.250 0.250 0.250
Ru 0.500 0.500 0.500

7.
A geometry-optimized LiHfTiRu structure. Source: Alexandria, functional PBE-GGA.

Calculated values
* calculated density: 8.61 g/cm³
* crystal system: cubic
* E: -7.55 eV per atom
* space-group type: F-43m
* energy of formation: -291.3 meV per atom

Cell: 4.501 4.501 4.501 Å, 60.00 60.00 60.00°
Fractional coordinates of all 4 atoms:
Li 0.000 0.000 0.000
Hf 0.250 0.250 0.250
Ti 0.750 0.750 0.750
Ru 0.500 0.500 0.500

8.
A geometry-optimized LiHf2TlRu structure. Source: Alexandria, functional PBE-GGA.

Calculated values
* calculated density: 11.81 g/cm³
* crystal system: tetragonal
* E: -6.09 eV per atom
* space-group type: P4/mmm
* energy of formation: 607.3 meV per atom

Cell: 4.769 4.769 4.139 Å, 90.00 90.00 90.00°
Fractional coordinates of all 5 atoms:
Li 0.000 0.000 0.000
Hf 0.000 0.500 0.000
Hf 0.500 0.000 0.000
Tl 0.500 0.500 0.500
Ru 0.000 0.000 0.500

Q: Which of these has the highest E?
A: LiHf2TlRu